No. 1
VASP calculation (PBE-GGA) on a relaxed structure of Tb2Pm3Pb3.

Cell and atoms, written as extended XYZ:
```
8
Lattice="-2.885 -1.642 2.960 -0.668 -4.017 -2.879 9.955 -2.232 5.124" Properties=species:S:1:pos:R:3 pbc="T T T"
Pb 4.209 -6.533 3.820
Pb 2.194 -1.357 1.385
Pb -0.334 -2.009 -1.439
Tb 2.562 -3.299 4.009
Tb 3.840 -4.591 1.197
Pm 0.203 -4.054 1.291
Pm 6.199 -3.836 3.915
Pm -1.443 -0.821 1.480
```

Calculated values
Density ... 9.43 g/cm³
Energy above the lowest structure with this stoichiometry ... 0.145 eV/atom
E_tot ... -37.90 eV per formula unit
ΔH_f (0 K) ... -408.3 meV per atom

No. 2
VASP calculation (PBE-GGA) on a relaxed structure of YTe2Pt.

Cell and atoms, written as extended XYZ:
```
4
Lattice="5.924 0.007 0.003 4.536 3.811 0.003 0.109 0.040 5.042" Properties=species:S:1:pos:R:3 pbc="T T T"
Te 2.393 0.873 1.870
Te 10.342 3.775 4.926
Pt 8.410 3.070 3.314
Y 5.276 1.926 2.510
```

Calculated values
Energy relative to the elements, uncorrected ... -796 meV per atom
Density ... 7.88 g/cm³
Energy above the lowest structure with this stoichiometry ... 0.129 eV/atom
E_tot ... -21.97 eV per formula unit

No. 3
VASP calculation (PBE-GGA) on a relaxed structure of AlH12C3N3.

Cell and atoms, written as extended XYZ:
```
152
Lattice="3.966 -0.713 8.546 8.244 -3.765 -2.669 8.353 14.816 -0.845" Properties=species:S:1:pos:R:3 pbc="T T T"
H 14.670 9.337 0.422
H 19.019 10.149 3.073
H 15.048 8.024 1.537
H 5.608 0.647 2.904
H 15.828 11.105 -2.456
H 11.367 11.157 -1.548
H 16.023 10.490 5.348
H 6.610 6.963 -0.794
H 13.154 2.149 2.343
H 5.143 4.815 0.596
H 14.956 9.691 2.128
H 4.974 -1.161 5.777
H 7.448 5.080 1.754
H 7.215 -1.117 4.331
H 10.191 2.702 4.093
H 15.590 11.499 -0.745
H 10.910 10.611 2.229
H 13.116 5.258 3.278
H 7.676 2.752 -1.454
H 8.755 -2.018 4.184
H 12.189 5.722 1.818
H 4.370 3.519 1.524
H 2.886 0.026 3.124
H 17.438 9.387 3.421
H 7.331 2.777 1.086
H 8.476 -1.891 1.772
H 9.746 7.984 3.446
H 15.421 5.523 4.436
H 14.624 8.527 4.894
H 1.544 0.189 1.959
H 12.994 3.966 -0.288
H 5.535 4.239 5.139
H 7.653 11.613 0.090
H 10.367 -0.645 -1.114
H 12.327 9.781 -2.140
H 10.985 -1.443 0.949
H 7.569 6.372 5.320
H 9.608 1.518 5.273
H 13.233 7.561 3.946
H 13.349 11.455 0.701
H 9.579 11.781 4.083
H 11.809 12.356 0.848
H 11.263 9.104 7.064
H 4.541 -0.152 -0.316
H 9.285 12.248 0.265
H 9.654 -0.273 2.802
H 10.373 7.636 0.939
H 11.508 -0.226 5.266
H 15.156 5.318 1.486
H 10.818 2.354 1.586
H 17.678 10.312 1.908
H 15.029 6.099 -0.107
H 3.126 0.951 1.611
H 8.375 4.616 3.213
H 9.105 5.717 2.028
H 9.147 3.939 0.441
H 5.894 1.001 4.609
H 14.352 11.921 -1.935
H 11.459 4.621 3.004
H 8.228 6.139 6.941
H 11.416 6.399 4.591
H 7.410 8.189 2.689
H 9.184 5.681 5.521
H 7.726 8.057 0.078
H 5.940 1.811 0.138
H 9.301 1.234 -2.032
H 12.087 12.229 3.260
H 8.333 6.528 -0.628
H 6.211 -1.583 6.967
H 8.846 3.104 5.163
H 16.194 6.819 3.508
H 4.997 -1.740 2.270
H 9.094 9.949 2.397
H 11.718 7.234 -0.131
H 13.806 10.610 4.280
H 12.837 2.282 4.954
H 12.910 -1.274 4.942
H 12.888 7.586 6.486
H 15.567 12.078 2.762
H 4.736 -0.767 7.488
H 12.336 4.199 -1.909
H 11.279 -1.910 4.767
H 10.197 10.983 6.146
H 12.231 3.810 5.660
H 5.408 5.020 3.545
H 8.237 0.557 7.172
H 13.954 3.375 5.826
H 9.197 -0.819 6.580
H 9.056 10.564 -0.234
H 16.880 6.281 5.061
H 5.515 2.314 3.495
H 11.380 4.657 -0.489
H 3.683 4.057 -0.029
H 6.758 -0.272 0.752
H 11.470 0.389 2.635
H 10.956 8.820 -0.241
C 5.002 0.505 -1.080
C 7.634 7.362 -0.781
C 16.399 5.932 4.132
C 12.105 5.503 2.892
C 7.089 -2.941 -0.924
C 18.164 9.630 2.619
C 9.281 2.291 4.560
C 13.169 1.153 1.859
C 8.495 6.443 5.916
C 11.903 -1.248 5.391
C 12.930 2.977 5.813
C 12.069 3.895 -0.884
C 15.562 9.833 6.112
C 14.485 8.966 1.444
C 8.661 11.586 -0.359
C 8.459 4.835 2.140
C 4.165 4.406 0.900
C 2.399 0.708 2.413
C 7.395 9.185 3.173
C 12.779 12.141 1.343
C 6.079 1.372 3.588
C 11.283 8.047 0.472
C 7.785 -1.803 3.689
C 13.475 13.279 5.956
Al 12.552 8.743 1.828
Al 9.026 0.871 0.546
Al 12.669 11.499 6.287
Al 11.360 2.046 -0.805
Al 8.012 1.595 3.204
Al 11.538 9.467 4.486
Al 9.204 8.292 5.837
Al 7.894 -1.161 -1.255
N 9.636 8.852 4.004
N 9.643 -0.861 -0.411
N 8.728 9.768 3.338
N 11.906 7.275 6.481
N 9.081 3.711 1.446
N 7.171 0.223 -0.061
N 10.383 12.219 4.554
N 9.449 1.861 -1.226
N 11.482 6.627 3.586
N 12.318 7.815 3.544
N 10.181 -1.881 0.477
N 11.115 8.477 6.258
N 8.749 -0.026 2.373
N 11.836 0.570 1.694
N 6.220 1.170 -0.612
N 10.928 1.486 1.028
N 8.658 3.063 -1.449
N 10.920 11.199 5.443
N 14.344 9.168 5.644
N 8.246 2.523 1.488
N 11.815 10.365 2.659
N 12.627 11.569 2.678
N 7.937 -1.231 2.354
N 13.393 10.115 5.093
```

Calculated values
Density ... 1.04 g/cm³
E_tot ... -100.20 eV per formula unit

No. 4
VASP calculation (PBE-GGA) on a relaxed structure of Li2Pr3Hg5.

Cell and atoms, written as extended XYZ:
```
20
Lattice="3.989 0.000 0.000 0.000 11.077 0.000 0.000 0.000 11.077" Properties=species:S:1:pos:R:3 pbc="T T T"
Hg 1.995 10.367 2.412
Hg 1.995 5.538 0.000
Hg 1.995 4.829 3.127
Hg 1.995 6.248 7.950
Hg 1.995 8.665 10.367
Hg 1.995 7.950 4.829
Hg 1.995 2.412 0.710
Hg 1.995 3.127 6.248
Hg 1.995 0.710 8.665
Hg 1.995 0.000 5.538
Pr 0.000 5.538 5.538
Pr 0.000 7.515 1.976
Pr 0.000 3.562 9.101
Pr 0.000 1.976 3.562
Pr 0.000 9.101 7.515
Pr 0.000 0.000 0.000
Li 0.000 9.800 4.261
Li 0.000 4.261 1.277
Li 0.000 1.277 6.815
Li 0.000 6.815 9.800
```

Calculated values
Density ... 9.77 g/cm³
E_tot ... -23.82 eV per formula unit
ΔH_f (0 K) ... -414.4 meV per atom

No. 5
VASP calculation (PBE-GGA) on a relaxed structure of Ni2IrAu.

Cell and atoms, written as extended XYZ:
```
4
Lattice="3.897 0.000 0.000 0.000 3.882 0.000 0.000 0.000 3.604" Properties=species:S:1:pos:R:3 pbc="T T T"
Ni 1.949 1.941 0.000
Ni 0.000 0.000 0.000
Au 1.949 0.000 1.802
Ir 0.000 1.941 1.802
```

Calculated values
Density ... 15.43 g/cm³
Energy above the lowest structure with this stoichiometry ... 0.155 eV/atom
E_tot ... -22.80 eV per formula unit
ΔH_f (0 K) ... 225.7 meV per atom

No. 6
VASP calculation (PBE-GGA) on a relaxed structure of TiPbSe3.

Cell and atoms, written as extended XYZ:
```
5
Lattice="5.010 0.000 0.000 0.000 5.010 0.000 0.000 0.000 5.010" Properties=species:S:1:pos:R:3 pbc="T T T"
Ti 0.000 0.000 0.000
Se 0.000 2.505 0.000
Se 0.000 0.000 2.505
Se 2.505 0.000 0.000
Pb 2.505 2.505 2.505
```

Calculated values
Energy relative to the elements, uncorrected ... -587 meV per atom
Density ... 6.50 g/cm³
Energy above the lowest structure with this stoichiometry ... 0.199 eV/atom
E_tot ... -24.99 eV per formula unit

No. 7
VASP calculation (PBE-GGA) on a relaxed structure of TiHgCl2.

Cell and atoms, written as extended XYZ:
```
4
Lattice="3.314 0.000 0.000 -1.657 2.870 0.003 0.000 0.001 10.479" Properties=species:S:1:pos:R:3 pbc="T T T"
Cl 1.657 0.959 3.656
Cl 0.000 1.913 6.826
Hg 0.000 0.000 0.000
Ti 0.000 0.001 5.239
```

Calculated values
Energy relative to the elements, uncorrected ... -1031 meV per atom
Density ... 5.32 g/cm³
Energy above the lowest structure with this stoichiometry ... 0.000 eV/atom
E_tot ... -16.02 eV per formula unit

No. 8
VASP calculation (PBE-GGA) on a relaxed structure of Cu2ReHRh.

Cell and atoms, written as extended XYZ:
```
5
Lattice="4.773 0.000 0.000 0.000 4.638 0.000 0.000 0.000 4.773" Properties=species:S:1:pos:R:3 pbc="T T T"
H 2.386 2.319 2.386
Rh 0.000 2.319 0.000
Re 0.000 0.000 0.000
Cu 2.386 0.000 0.000
Cu 0.000 0.000 2.386
```

Calculated values
Density ... 6.56 g/cm³
E_tot ... -21.86 eV per formula unit

No. 9
VASP calculation (PBE-GGA) on a relaxed structure of Cr2AgAu.

Cell and atoms, written as extended XYZ:
```
4
Lattice="2.654 0.006 0.000 -0.008 2.654 0.000 0.000 0.000 8.420" Properties=species:S:1:pos:R:3 pbc="T T T"
Ag 1.323 1.330 2.105
Cr 0.000 0.000 4.226
Cr 0.000 0.000 8.404
Au 1.323 1.330 6.315
```

Calculated values
Density ... 11.45 g/cm³
Energy above the lowest structure with this stoichiometry ... 0.461 eV/atom
E_tot ... -22.82 eV per formula unit
ΔH_f (0 K) ... 639.8 meV per atom

No. 10
VASP calculation (PBE-GGA) on a relaxed structure of ReSnBi2Pd.

Cell and atoms, written as extended XYZ:
```
5
Lattice="5.285 0.000 0.000 0.000 5.178 0.000 0.000 0.000 5.285" Properties=species:S:1:pos:R:3 pbc="T T T"
Re 0.000 2.589 0.000
Pd 0.000 0.000 0.000
Sn 2.643 2.589 2.643
Bi 0.000 0.000 2.643
Bi 2.643 0.000 0.000
```

Calculated values
Density ... 9.52 g/cm³
E_tot ... -23.85 eV per formula unit
ΔH_f (0 K) ... 1110.7 meV per atom

No. 11
VASP calculation (PBE-GGA) on a relaxed structure of SrTe2P.

Cell and atoms, written as extended XYZ:
```
4
Lattice="-2.036 2.836 4.870 2.036 -2.836 4.870 2.036 2.836 -4.870" Properties=species:S:1:pos:R:3 pbc="T T T"
Sr 0.000 2.836 0.000
Te 0.000 0.000 1.918
Te 0.000 0.000 7.823
P 2.036 0.000 0.000
```

Calculated values
Energy relative to the elements, uncorrected ... -530 meV per atom
Density ... 5.52 g/cm³
Energy above the lowest structure with this stoichiometry ... 0.127 eV/atom
E_tot ... -15.50 eV per formula unit

No. 12
VASP calculation (PBE-GGA) on a relaxed structure of PrSi4Rh12.

Cell and atoms, written as extended XYZ:
```
17
Lattice="7.134 0.000 0.000 -2.378 6.726 0.000 -2.378 -3.363 5.824" Properties=species:S:1:pos:R:3 pbc="T T T"
Pr 0.000 0.000 0.000
Rh -1.509 4.526 1.980
Rh 4.770 1.671 1.064
Rh 2.364 -0.086 1.980
Rh 2.392 4.968 0.915
Rh -2.392 1.691 4.760
Rh 0.869 2.814 0.915
Rh -0.014 -1.605 4.909
Rh -0.869 0.614 2.895
Rh 3.887 -1.163 3.845
Rh 1.509 0.548 4.909
Rh 0.014 3.449 3.845
Rh 3.247 2.748 2.930
Si 1.189 1.681 2.912
Si -1.189 -1.681 2.912
Si 3.567 0.000 0.000
Si -1.189 3.363 0.000
```

Calculated values
Energy relative to the elements, uncorrected ... -189 meV per atom
Density ... 8.84 g/cm³
E_tot ... -117.90 eV per formula unit